Below is a relaxed structure of InCoRh2, with properties calculated at the GGA-PBEsol level.

a b c (Å): 3.834 3.834 4.665
angles (deg): 114.26 114.26 90.00
Site moments in Bohr magnetons follow the coordinates.
Element x y z (fractional)
Co: 0.500 0.500 0.000  0.46
In: 0.250 0.750 0.500  -0.01
Rh: 0.000 0.000 0.000  0.01
Rh: 0.750 0.250 0.500  0.05

Results
* SG: I-4m2, No. 119
* calculated formation energy: -0.003 eV/atom
* E_tot: -27.01 eV for the cell shown
* magnetic moment: 0.490 Bohr magnetons per cell

=====

Below is a relaxed structure of InCoRh2, with properties calculated at the GGA-PBEsol level.

a b c (Å): 3.992 3.992 4.550
angles (deg): 116.02 116.02 90.00
Site moments in Bohr magnetons follow the coordinates.
Element x y z (fractional)
Co: 0.500 0.500 0.000  1.85
In: 0.000 0.000 0.000  -0.02
Rh: 0.750 0.250 0.500  0.40
Rh: 0.250 0.750 0.500  0.40

Results
* SG: I4/mmm, No. 139
* calculated formation energy: -0.042 eV/atom
* E_tot: -27.16 eV for the cell shown
* magnetic moment: 2.595 Bohr magnetons per cell

=====

Below is a relaxed structure of In2Co3S2, with properties calculated at the GGA-PBEsol level.

a b c (Å): 5.230 5.230 5.381
angles (deg): 60.92 60.92 60.00
Element x y z (fractional)
S: 0.721 0.721 0.837
S: 0.279 0.279 0.163
Co: 0.500 0.000 0.500
Co: 0.000 0.500 0.500
Co: 0.000 0.000 0.500
In: 0.500 0.500 0.500
In: 0.000 0.000 0.000

Results
* SG: R-3m, No. 166
* E_tot: -40.75 eV for the cell shown
* uncorrected formation energy: -270 kJ/mol of formula units
* magnetic moment: 0.002 Bohr magnetons per cell

=====

Below is a relaxed structure of InCoS2, with properties calculated at the GGA-PBEsol level.

a b c (Å): 3.747 3.747 7.427
angles (deg): 75.39 75.39 60.00
Site moments in Bohr magnetons follow the coordinates.
Element x y z (fractional)
S: 0.901 0.901 0.296  0.05
S: 0.099 0.099 0.704  0.05
Co: 0.000 0.000 0.000  1.88
In: 0.500 0.500 0.500  -0.02

Results
* SG: R-3m, No. 166
* E_tot: -19.51 eV for the cell shown
* uncorrected formation energy: -2 kJ/mol of formula units
* magnetic moment: 2.000 Bohr magnetons per cell

=====

Below is a relaxed structure of InCo3SnS2, with properties calculated at the GGA-PBEsol level.

a b c (Å): 5.211 5.211 5.379
angles (deg): 61.02 61.02 60.00
Element x y z (fractional)
S: 0.220 0.220 0.340
S: 0.780 0.780 0.660
Co: 0.500 0.500 0.000
Co: 0.000 0.500 0.000
Co: 0.500 0.000 0.000
Sn: 0.000 0.000 0.000
In: 0.500 0.500 0.500

Results
* SG: R-3m, No. 166
* E_tot: -42.39 eV for the cell shown
* uncorrected formation energy: -306 kJ/mol of formula units
* magnetic moment: 0.000 Bohr magnetons per cell

=====

Below is a relaxed structure of TaIn2CoS, with properties calculated at the GGA-PBEsol level.

a b c (Å): 3.918 5.020 5.020
angles (deg): 90.00 90.00 90.00
Site moments in Bohr magnetons follow the coordinates.
Element x y z (fractional)
S: 0.500 0.000 0.000  0.02
In: 0.000 0.000 0.500  0.00
In: 0.000 0.500 0.000  0.00
Co: 0.000 0.000 0.000  0.37
Ta: 0.500 0.500 0.500  0.99

Results
* SG: P4/mmm, No. 123
* E_tot: -26.94 eV for the cell shown
* uncorrected formation energy: 357 kJ/mol of formula units
* magnetic moment: 1.888 Bohr magnetons per cell

=====

Below is a relaxed structure of InCo16Sb48, with properties calculated at the GGA-PBEsol level.

a b c (Å): 7.796 7.796 25.449
angles (deg): 90.00 90.00 70.54
Element x y z (fractional)
In: 0.000 0.000 0.000
Co: 0.750 0.250 0.874
Co: 0.250 0.750 0.625
Co: 0.750 0.250 0.375
Co: 0.250 0.750 0.126
Co: 0.500 0.000 0.749
Co: 0.000 0.500 0.500
Co: 0.500 0.000 0.251
Co: 0.000 0.500 0.000
Co: 0.000 0.500 0.749
Co: 0.500 0.000 0.500
Co: 0.000 0.500 0.251
Co: 0.500 0.000 0.000
Co: 0.250 0.750 0.874
Co: 0.750 0.250 0.625
Co: 0.250 0.750 0.375
Co: 0.750 0.250 0.126
Sb: 0.495 0.175 0.832
Sb: 0.994 0.674 0.583
Sb: 0.494 0.173 0.334
Sb: 0.993 0.670 0.085
Sb: 0.007 0.330 0.915
Sb: 0.506 0.827 0.666
Sb: 0.006 0.326 0.417
Sb: 0.505 0.825 0.168
Sb: 0.175 0.495 0.832
Sb: 0.674 0.994 0.583
Sb: 0.173 0.494 0.334
Sb: 0.670 0.993 0.085
Sb: 0.330 0.007 0.915
Sb: 0.827 0.506 0.666
Sb: 0.326 0.006 0.417
Sb: 0.825 0.505 0.168
Sb: 0.586 0.253 0.959
Sb: 0.087 0.753 0.709
Sb: 0.587 0.253 0.460
Sb: 0.086 0.753 0.211
Sb: 0.914 0.247 0.789
Sb: 0.413 0.747 0.540
Sb: 0.913 0.247 0.291
Sb: 0.414 0.747 0.041
Sb: 0.247 0.914 0.789
Sb: 0.747 0.413 0.540
Sb: 0.247 0.913 0.291
Sb: 0.747 0.414 0.041
Sb: 0.253 0.586 0.959
Sb: 0.753 0.087 0.709
Sb: 0.253 0.587 0.460
Sb: 0.753 0.086 0.211
Sb: 0.745 0.745 0.792
Sb: 0.246 0.246 0.543
Sb: 0.747 0.747 0.294
Sb: 0.249 0.249 0.044
Sb: 0.751 0.751 0.956
Sb: 0.253 0.253 0.706
Sb: 0.754 0.754 0.457
Sb: 0.255 0.255 0.208
Sb: 0.585 0.585 0.872
Sb: 0.086 0.086 0.623
Sb: 0.586 0.586 0.374
Sb: 0.088 0.088 0.125
Sb: 0.912 0.912 0.875
Sb: 0.414 0.414 0.626
Sb: 0.914 0.914 0.377
Sb: 0.415 0.415 0.128

Results
* SG: C2/m, No. 12
* E_tot: -359.85 eV for the cell shown
* uncorrected formation energy: -1382 kJ/mol of formula units
* magnetic moment: 0.001 Bohr magnetons per cell

=====

Below is a relaxed structure of InCo2Sb, with properties calculated at the GGA-PBEsol level.

a b c (Å): 5.620 5.620 5.620
angles (deg): 105.83 105.83 117.03
Element x y z (fractional)
Sb: 0.000 0.000 0.000
Sb: 0.250 0.750 0.500
Co: 0.895 0.875 0.520
Co: 0.355 0.375 0.480
Co: 0.125 0.645 0.020
Co: 0.625 0.105 0.980
In: 0.500 0.500 0.000
In: 0.750 0.250 0.500

Results
* SG: I-42d, No. 122
* E_tot: -41.94 eV for the cell shown
* uncorrected formation energy: 197 kJ/mol of formula units
* magnetic moment: 0.001 Bohr magnetons per cell

=====

Below is a relaxed structure of ScInCo2, with properties calculated at the GGA-PBEsol level.

a b c (Å): 3.052 4.306 5.042
angles (deg): 109.51 107.61 90.00
Site moments in Bohr magnetons follow the coordinates.
Element x y z (fractional)
Co: 0.025 0.990 0.050  0.88
Co: 0.734 0.271 0.467  0.83
In: 0.481 0.455 0.963  -0.02
Sc: 0.260 0.785 0.520  -0.16

Results
* SG: Cm, No. 8
* calculated formation energy: -0.113 eV/atom
* E_tot: -25.52 eV for the cell shown
* magnetic moment: 1.455 Bohr magnetons per cell

=====

Below is a relaxed structure of ScInCo2, with properties calculated at the GGA-PBEsol level.

a b c (Å): 3.230 4.204 4.204
angles (deg): 90.00 90.00 90.00
Element x y z (fractional)
Sc: 0.500 0.000 0.000
Co: 0.000 0.000 0.500
Co: 0.000 0.500 0.000
In: 0.500 0.500 0.500

Results
* SG: P4/mmm, No. 123
* calculated formation energy: -0.239 eV/atom
* E_tot: -26.02 eV for the cell shown
* magnetic moment: 0.000 Bohr magnetons per cell

=====

Below is a relaxed structure of ScIn2Co, with properties calculated at the GGA-PBEsol level.

a b c (Å): 3.260 4.871 5.523
angles (deg): 116.16 107.17 90.00
Site moments in Bohr magnetons follow the coordinates.
Element x y z (fractional)
Co: 0.000 0.500 0.000  0.72
In: 0.718 0.718 0.436  0.00
In: 0.282 0.282 0.564  0.00
Sc: 0.500 0.000 0.000  -0.08

Results
* SG: Immm, No. 71
* calculated formation energy: -0.078 eV/atom
* E_tot: -20.62 eV for the cell shown
* magnetic moment: 0.610 Bohr magnetons per cell

=====

Below is a relaxed structure of Sc5In4Co2, with properties calculated at the GGA-PBEsol level.

a b c (Å): 3.277 7.462 17.047
angles (deg): 90.00 90.00 90.00
Element x y z (fractional)
Sc: 0.500 0.500 0.500
Sc: 0.500 0.000 0.000
Sc: 0.500 0.874 0.409
Sc: 0.500 0.126 0.591
Sc: 0.500 0.626 0.909
Sc: 0.500 0.374 0.091
Sc: 0.500 0.240 0.279
Sc: 0.500 0.760 0.721
Sc: 0.500 0.260 0.779
Sc: 0.500 0.740 0.221
In: 0.000 0.198 0.432
In: 0.000 0.802 0.568
In: 0.000 0.302 0.932
In: 0.000 0.698 0.068
In: 0.000 0.564 0.348
In: 0.000 0.436 0.652
In: 0.000 0.936 0.848
In: 0.000 0.064 0.152
Co: 0.000 0.961 0.306
Co: 0.000 0.039 0.694
Co: 0.000 0.539 0.806
Co: 0.000 0.461 0.194

Results
* SG: Pbam, No. 55
* calculated formation energy: -0.505 eV/atom
* E_tot: -131.97 eV for the cell shown
* magnetic moment: 0.001 Bohr magnetons per cell